This record from the Alexandria database describes a geometry-optimized La2MgAg3Ge4 structure. The functional is PBE.

```
data_La2MgAg3Ge4
_chemical_formula_sum 'La2 Mg1 Ag3 Ge4'
_cell_length_a 4.372
_cell_length_b 4.372
_cell_length_c 11.426
_cell_angle_alpha 90.00
_cell_angle_beta 90.00
_cell_angle_gamma 90.00
_space_group_name_H-M_alt 'P -4 m 2'
_space_group_IT_number 115
loop_
_space_group_symop_operation_xyz
'x,y,z'
'y,-x,-z'
'-x,-y,z'
'-y,x,-z'
'-x,y,z'
'-y,-x,-z'
'x,-y,z'
'y,x,-z'
loop_
_atom_site_label
_atom_site_fract_x
_atom_site_fract_y
_atom_site_fract_z
La1 0.000 0.500 0.248
Mg1 0.000 0.000 0.500
Ag1 0.000 0.500 0.865
Ag2 0.500 0.500 0.500
Ge1 0.000 0.000 0.000
Ge2 0.000 0.500 0.643
Ge3 0.500 0.500 0.000
```

Total magnetization in Bohr magnetons per cell: 0.00
Formation enthalpy at 0 K in meV/atom: -445.9

---

This record from the Alexandria database describes a geometry-optimized Mn2PPb structure. The functional is PBE.

```
data_Mn2PPb
_chemical_formula_sum 'Mn8 P4 Pb4'
_cell_length_a 6.126
_cell_length_b 6.126
_cell_length_c 6.126
_cell_angle_alpha 90.00
_cell_angle_beta 90.00
_cell_angle_gamma 90.00
_space_group_name_H-M_alt 'F m -3 m'
_space_group_IT_number 225
_space_group_name_Hall '-F 4 2 3'
loop_
_atom_site_label
_atom_site_fract_x
_atom_site_fract_y
_atom_site_fract_z
Mn1 0.250 0.250 0.250
P1 0.000 0.000 0.000
Pb1 0.000 0.000 0.500
```

Total magnetization in Bohr magnetons per cell: 4.55
Formation enthalpy at 0 K in meV/atom: 641.5

---

| no. | density of states at the Fermi level (states/eV/f.u.) | DFT total energy (eV/atom) |
| --- | --- | --- |
| 1 | 3.1 | -4.293 |
| 2 | 3.6 | -6.223 |